Entry 1:
10
Lattice="6.932 0.000 0.000 0.000 6.932 0.000 0.000 0.000 2.828" Properties=species:S:1:pos:R:3 comment="Cr2CoRe2 (GGA-PBE, relaxed)" final_energy_ev_per_atom=-9.80 delta_e_f_mev_per_atom=452 vol_a3_per_atom=13.6 e_above_lowest_polymorph_ev_per_fu=0.00 pbc="T T T"
Cr 4.436 0.970 0.000
Re 4.591 5.807 1.414
Re 2.341 1.125 1.414
Cr 2.496 5.962 0.000
Re 1.125 4.591 1.414
Cr 5.962 4.436 0.000
Cr 0.970 2.496 0.000
Co 0.000 0.000 0.000
Co 3.466 3.466 0.000
Re 5.807 2.341 1.414

Entry 2:
11
Lattice="-2.632 2.065 1.258 -5.959 -5.379 -3.639 1.669 -7.044 9.978" Properties=species:S:1:pos:R:3 comment="Pm5Nd4Dy2 (GGA-PBE, relaxed)" final_energy_ev_per_atom=-4.63 delta_e_f_mev_per_atom=96 vol_a3_per_atom=34.8 e_above_lowest_polymorph_ev_per_fu=0.00 pbc="T T T"
Pm -1.316 1.033 0.629
Dy -1.513 -6.590 7.653
Nd -0.844 -4.231 5.179
Dy -5.410 -3.768 -0.057
Pm -0.187 -1.820 2.597
Pm -2.701 -4.770 2.179
Pm -6.736 -8.537 4.999
Nd -4.889 -8.011 8.000
Pm -4.221 -5.588 5.418
Nd -6.078 -6.127 2.417
Nd -2.034 -2.346 -0.404

Entry 3:
5
Lattice="-1.254 5.263 -1.110 -5.058 -1.541 -1.595 -1.830 0.655 5.170" Properties=species:S:1:pos:R:3 comment="K3ReN (GGA-PBE, relaxed)" final_energy_ev_per_atom=-3.17 vol_a3_per_atom=33.7 e_above_lowest_polymorph_ev_per_fu=0.00 formation_energy_uncorrected_ev_per_fu=8.207 pbc="T T T"
K -0.915 0.327 2.585
K -2.529 -0.771 -0.798
K -0.627 2.632 -0.555
Re -4.071 2.188 1.232
N 0.000 0.000 0.000

Entry 4:
6
Lattice="-0.242 -2.017 -4.713 4.371 -2.547 0.865 -4.014 -5.961 2.755" Properties=species:S:1:pos:R:3 comment="Ho4ScBi (GGA-PBE, relaxed)" final_energy_ev_per_atom=-4.59 delta_e_f_mev_per_atom=164 vol_a3_per_atom=33.8 pbc="T T T"
Ho 1.296 -7.924 0.520
Sc 2.360 -5.513 2.229
Ho 3.181 -5.118 -0.776
Ho 1.117 -2.837 1.149
Bi -1.955 -8.228 0.817
Ho -0.770 -5.642 2.444

Entry 5:
8
Lattice="-2.347 0.937 -6.897 -0.449 -7.284 -0.837 -4.047 -3.115 -2.957" Properties=species:S:1:pos:R:3 comment="Ti2TlTc (GGA-PBE, relaxed)" final_energy_ev_per_atom=-6.82 delta_e_f_mev_per_atom=313 vol_a3_per_atom=18.9 pbc="T T T"
Tl 0.000 0.000 0.000
Tc -2.947 -6.786 -3.830
Tc -1.398 -3.174 -3.867
Ti -4.106 -5.074 -5.159
Ti -5.459 -7.532 -8.944
Ti -1.701 -5.168 -2.463
Tl -3.896 -2.676 -6.861
Ti -2.419 -1.150 -4.816

Entry 6:
8
Lattice="-4.374 -4.998 -3.645 6.149 -3.031 -3.224 1.361 -7.429 0.680" Properties=species:S:1:pos:R:3 comment="ZnCI2 (GGA-PBE, relaxed)" final_energy_ev_per_atom=-2.19 vol_a3_per_atom=38.5 e_above_lowest_polymorph_ev_per_fu=0.00 formation_energy_uncorrected_ev_per_fu=4.830 pbc="T T T"
Zn 0.000 0.000 0.000
I 1.032 -11.836 -4.691
C 4.199 -7.237 -2.989
Zn -1.062 -8.220 -3.199
I 2.539 -5.630 -3.215
I 3.229 -9.343 -2.874
I -0.527 -4.106 -1.596
C 0.888 -4.014 -3.434

Entry 7:
4
Lattice="-1.981 4.028 3.108 1.089 5.202 -1.252 -3.960 3.232 -1.918" Properties=species:S:1:pos:R:3 comment="K2HfFe (GGA-PBE, relaxed)" final_energy_ev_per_atom=-3.05 delta_e_f_mev_per_atom=2098 vol_a3_per_atom=28.8 pbc="T T T"
K -3.640 9.347 -0.047
Fe 0.000 0.000 0.000
Hf -2.427 6.231 -0.031
K -1.213 3.116 -0.016

Repeat the second record exactly.
11
Lattice="-2.632 2.065 1.258 -5.959 -5.379 -3.639 1.669 -7.044 9.978" Properties=species:S:1:pos:R:3 comment="Pm5Nd4Dy2 (GGA-PBE, relaxed)" final_energy_ev_per_atom=-4.63 delta_e_f_mev_per_atom=96 vol_a3_per_atom=34.8 e_above_lowest_polymorph_ev_per_fu=0.00 pbc="T T T"
Pm -1.316 1.033 0.629
Dy -1.513 -6.590 7.653
Nd -0.844 -4.231 5.179
Dy -5.410 -3.768 -0.057
Pm -0.187 -1.820 2.597
Pm -2.701 -4.770 2.179
Pm -6.736 -8.537 4.999
Nd -4.889 -8.011 8.000
Pm -4.221 -5.588 5.418
Nd -6.078 -6.127 2.417
Nd -2.034 -2.346 -0.404

Q: What is the formula in the fourth record?
A: Ho4ScBi